Record 1
An optimized crystal structure of Mn3Br7Cl, computed with PBE-GGA.

Calculated values
- E_form (uncorrected) (eV per atom) = -0.7052
- Fermi-level density of states (states/eV per atom) = 0.544
- E_tot (eV/cell) = -48.82
- spin magnetization (μB per formula unit) = 13.00

```
data_Mn3Br7Cl
_chemical_formula_sum 'Mn3 Br7 Cl1'
_cell_length_a 7.5052
_cell_length_b 7.5052
_cell_length_c 6.7744
_cell_angle_alpha 90.00
_cell_angle_beta 90.00
_cell_angle_gamma 120.00
_symmetry_space_group_name_H-M 'P 3 m 1'
_symmetry_Int_Tables_number 156
loop_
_symmetry_equiv_pos_as_xyz
'x,y,z'
'-y,x-y,z'
'-x+y,-x,z'
'-y,-x,z'
'-x+y,y,z'
'x,x-y,z'
loop_
_atom_site_label
_atom_site_type_symbol
_atom_site_fract_x
_atom_site_fract_y
_atom_site_fract_z
Mn1 Mn 0.0026 0.5013 0.0000
Br1 Br 0.1740 0.3479 0.2092
Br2 Br 0.3481 0.1740 0.7939
Br3 Br 0.6667 0.3333 0.2437
Cl1 Cl 0.3333 0.6667 0.7853
```

***

Record 2
An optimized crystal structure of MnBrCl2, computed with PBE-GGA.

Calculated values
- E_form (uncorrected) (eV per atom) = 0.1349
- Fermi-level density of states (states/eV per atom) = 0.845
- offset from the most stable computed form (meV per atom) = 970
- E_tot (eV/cell) = -27.99
- spin magnetization (μB per formula unit) = 4.81

```
data_MnBrCl2
_chemical_formula_sum 'Mn2 Br2 Cl4'
_cell_length_a 6.5312
_cell_length_b 6.5430
_cell_length_c 4.1281
_cell_angle_alpha 90.00
_cell_angle_beta 90.00
_cell_angle_gamma 90.00
_symmetry_space_group_name_H-M 'C m m m'
_symmetry_Int_Tables_number 65
_symmetry_space_group_name_Hall '-C 2 2'
loop_
_atom_site_label
_atom_site_type_symbol
_atom_site_fract_x
_atom_site_fract_y
_atom_site_fract_z
Mn1 Mn 0.0000 0.0000 0.0000
Br1 Br 0.0000 0.5000 0.0000
Cl1 Cl 0.2500 0.2500 0.5000
```

***

Record 3
An optimized crystal structure of MnBrCl2, computed with PBE-GGA.

Calculated values
- E_form (uncorrected) (eV per atom) = -0.8347
- offset from the most stable computed form (meV per atom) = 0
- E_tot (eV/cell) = -71.50
- spin magnetization (μB per formula unit) = 4.00

```
data_MnBrCl2
_chemical_formula_sum 'Mn4 Br4 Cl8'
_cell_length_a 6.1405
_cell_length_b 6.3969
_cell_length_c 12.1696
_cell_angle_alpha 90.00
_cell_angle_beta 114.88
_cell_angle_gamma 90.00
_symmetry_space_group_name_H-M 'P 1 21/c 1'
_symmetry_Int_Tables_number 14
loop_
_symmetry_equiv_pos_as_xyz
'x,y,z'
'-x,-y,-z'
'-x,y+1/2,-z+1/2'
'x,-y+1/2,z+1/2'
loop_
_atom_site_label
_atom_site_type_symbol
_atom_site_fract_x
_atom_site_fract_y
_atom_site_fract_z
Mn1 Mn 0.1786 0.0000 0.4185
Br1 Br 0.1731 0.2079 0.2540
Cl1 Cl 0.1269 0.7003 0.0694
Cl2 Cl 0.4722 0.7149 0.9198
```

***

Record 4
An optimized crystal structure of Mn2BrCl, computed with PBE-GGA.

Calculated values
- E_form (uncorrected) (eV per atom) = 0.1114
- Fermi-level density of states (states/eV per atom) = 0.856
- offset from the most stable computed form (meV per atom) = 356
- E_tot (eV/cell) = -64.24
- spin magnetization (μB per formula unit) = 8.20

```
data_Mn2BrCl
_chemical_formula_sum 'Mn6 Br3 Cl3'
_cell_length_a 3.3674
_cell_length_b 3.3674
_cell_length_c 23.3222
_cell_angle_alpha 90.00
_cell_angle_beta 90.00
_cell_angle_gamma 120.00
_symmetry_space_group_name_H-M 'R -3 m'
_symmetry_Int_Tables_number 166
_symmetry_space_group_name_Hall '-R 3 2"'
loop_
_atom_site_label
_atom_site_type_symbol
_atom_site_fract_x
_atom_site_fract_y
_atom_site_fract_z
Mn1 Mn 0.0000 0.0000 0.2469
Br1 Br 0.0000 0.0000 0.0000
Cl1 Cl 0.0000 0.0000 0.5000
```

***

Record 5
An optimized crystal structure of NaMnBrCl2, computed with PBE-GGA.

Calculated values
- E_form (uncorrected) (eV per atom) = -1.2410
- Fermi-level density of states (states/eV per atom) = 0.000
- offset from the most stable computed form (meV per atom) = 0
- E_tot (eV/cell) = -88.24
- spin magnetization (μB per formula unit) = 5.00

```
data_NaMnBrCl2
_chemical_formula_sum 'Na4 Mn4 Br4 Cl8'
_cell_length_a 3.7512
_cell_length_b 12.6567
_cell_length_c 9.9641
_cell_angle_alpha 90.00
_cell_angle_beta 90.00
_cell_angle_gamma 90.00
_symmetry_space_group_name_H-M 'C m c m'
_symmetry_Int_Tables_number 63
_symmetry_space_group_name_Hall '-C 2c 2'
loop_
_atom_site_label
_atom_site_type_symbol
_atom_site_fract_x
_atom_site_fract_y
_atom_site_fract_z
Na1 Na 0.0000 0.2349 0.2500
Mn1 Mn 0.0000 0.0000 0.0000
Br1 Br 0.0000 0.0858 0.7500
Cl1 Cl 0.0000 0.3721 0.5637
```

***

Record 6
An optimized crystal structure of NaMnBrCl2, computed with PBE-GGA.

Calculated values
- E_form (uncorrected) (eV per atom) = -1.1468
- offset from the most stable computed form (meV per atom) = 94
- E_tot (eV/cell) = -21.59
- spin magnetization (μB per formula unit) = 5.00

```
data_NaMnBrCl2
_chemical_formula_sum 'Na1 Mn1 Br1 Cl2'
_cell_length_a 4.9547
_cell_length_b 4.9547
_cell_length_c 5.4450
_cell_angle_alpha 90.00
_cell_angle_beta 90.00
_cell_angle_gamma 90.00
_symmetry_space_group_name_H-M 'P 4/m m m'
_symmetry_Int_Tables_number 123
_symmetry_space_group_name_Hall '-P 4 2'
loop_
_atom_site_label
_atom_site_type_symbol
_atom_site_fract_x
_atom_site_fract_y
_atom_site_fract_z
Na1 Na 0.0000 0.0000 0.0000
Mn1 Mn 0.5000 0.5000 0.5000
Br1 Br 0.5000 0.5000 0.0000
Cl1 Cl 0.0000 0.5000 0.5000
```